TiFeReBr2: relaxed, PBE.

Cell and atoms, written as POSCAR:
```
TiFeReBr2
1.0
4.9196 0.0000 0.0000
0.0000 4.6653 0.0000
0.0000 0.0000 4.9196
Ti Br Fe Re
1 2 1 1
direct
0.0000 0.0000 0.0000
0.0000 0.0000 0.5000
0.5000 0.0000 0.0000
0.0000 0.5000 0.0000
0.5000 0.5000 0.5000
```

Properties
SG = P4/mmm, No. 123
DFT total energy = -4.914 eV/atom
total moment = 4.4 μB per formula unit